[1]
The following is a GGA-PBE calculation of an optimized crystal structure of CaPRh2, from Alexandria.

Summary:
- total DFT energy (no corrections) (eV per cell) = -23.6
- DFT formation energy (eV per atom) = -0.367

abc: 4.170 4.170 3.595
angles: 90.00 90.00 90.00
Space group P4/mmm (No. 123)
Asymmetric unit:
Ca 0.000 0.000 0.000 x1
P 0.500 0.500 0.000 x1
Rh 0.000 0.500 0.500 x2


[2]
The following is a GGA-PBE calculation of an optimized crystal structure of CaPRh2, from Alexandria.

Summary:
- total DFT energy (no corrections) (eV per cell) = -23.7
- DFT formation energy (eV per atom) = -0.396

abc: 3.308 3.308 6.265
angles: 90.00 90.00 90.00
Space group P4mm (No. 99)
Asymmetric unit:
Ca 0.000 0.000 0.000 x1
P 0.500 0.500 0.338 x1
Rh 0.000 0.000 0.457 x1
Rh 0.500 0.500 0.713 x1


[3]
The following is a GGA-PBE calculation of an optimized crystal structure of CaPRh2, from Alexandria.

Summary:
- total DFT energy (no corrections) (eV per cell) = -23.8
- DFT formation energy (eV per atom) = -0.424

abc: 3.137 3.545 6.523
angles: 90.00 102.74 90.00
Space group P2/m (No. 10)
Asymmetric unit:
Ca 0.000 0.000 0.000 x1
P 0.000 0.000 0.500 x1
Rh 0.338 0.500 0.687 x2